1.
The following is a DFT calculation (PBE) of an optimized crystal structure of BaMn3.

The structure belongs to space group I4/mmm (No. 139); the cell edges are 3.939, 3.939 and 24.628 Å and the angles 90.00°, 90.00° and 90.00°. Symmetry generates all atoms from Ba at (0.000, 0.000, 0.124), Mn at (0.000, 0.000, 0.295), Mn at (0.000, 0.500, 0.000) and Mn at (0.000, 0.500, 0.250).

As for the energy relative to the lowest polymorph listed for this composition: 104.8 meV per atom. For the energy, the calculation gives -6.664 eV/atom. As for the energy of formation: 67.0 kJ/mol of atoms. Its crystal system is tetragonal.

2.
The following is a DFT calculation (PBE) of an optimized crystal structure of LaTlAu2.

The structure belongs to space group I-42d (No. 122); the cell edges are 4.976, 4.976 and 18.783 Å and the angles 90.00°, 90.00° and 90.00°. Symmetry generates all atoms from La at (0.000, 0.000, 0.000), Tl at (0.000, 0.000, 0.500) and Au at (0.186, 0.250, 0.625).

As for the energy relative to the lowest polymorph listed for this composition: 375.7 meV per atom. For the energy, the calculation gives -3.696 eV/atom. As for the energy of formation: -22.5 kJ/mol of atoms. Its crystal system is tetragonal.